# 1
A plane-wave DFT calculation with GGA-PBE was carried out for crystalline KZrSe3 at its relaxed geometry.

Offset from the most stable computed form   97 meV/atom

Cell and atoms, written as CIF:
```
data_KZrSe3
_cell_length_a 5.2975
_cell_length_b 5.2975
_cell_length_c 5.2975
_cell_angle_alpha 90.00
_cell_angle_beta 90.00
_cell_angle_gamma 90.00
_space_group_name_H-M_alt 'P m -3 m'
_space_group_IT_number 221
_space_group_name_Hall '-P 4 2 3'
loop_
_atom_site_label
_atom_site_type_symbol
_atom_site_fract_x
_atom_site_fract_y
_atom_site_fract_z
_atom_site_occupancy
K1 K 0.0000 0.0000 0.0000 1
Zr1 Zr 0.5000 0.5000 0.5000 1
Se1 Se 0.0000 0.5000 0.5000 1
```

# 2
A plane-wave DFT calculation with GGA-PBE was carried out for crystalline KZrSe2 at its relaxed geometry.

E_tot   -5.3471 eV/atom

Cell and atoms, written as CIF:
```
data_KZrSe2
_cell_length_a 3.5709
_cell_length_b 3.7679
_cell_length_c 15.7691
_cell_angle_alpha 90.00
_cell_angle_beta 90.00
_cell_angle_gamma 90.00
_space_group_name_H-M_alt 'I m m 2'
_space_group_IT_number 44
loop_
_space_group_symop_operation_xyz
'x,y,z'
'-x,-y,z'
'-x,y,z'
'x,-y,z'
'x+1/2,y+1/2,z+1/2'
'-x+1/2,-y+1/2,z+1/2'
'-x+1/2,y+1/2,z+1/2'
'x+1/2,-y+1/2,z+1/2'
loop_
_atom_site_label
_atom_site_type_symbol
_atom_site_fract_x
_atom_site_fract_y
_atom_site_fract_z
_atom_site_occupancy
K1 K 0.0000 0.0000 0.0000 1
Zr1 Zr 0.0000 0.5000 0.7544 1
Se1 Se 0.0000 0.0000 0.3796 1
Se2 Se 0.0000 0.5000 0.1790 1
```

# 3
A plane-wave DFT calculation with GGA-PBE was carried out for crystalline KZr2Se at its relaxed geometry.

E_tot   -5.8036 eV/atom

Cell and atoms, written as CIF:
```
data_KZr2Se
_cell_length_a 3.4815
_cell_length_b 3.4815
_cell_length_c 9.1172
_cell_angle_alpha 90.00
_cell_angle_beta 90.00
_cell_angle_gamma 90.00
_space_group_name_H-M_alt 'P 4 m m'
_space_group_IT_number 99
loop_
_space_group_symop_operation_xyz
'x,y,z'
'-y,x,z'
'-x,-y,z'
'y,-x,z'
'-x,y,z'
'y,x,z'
'x,-y,z'
'-y,-x,z'
loop_
_atom_site_label
_atom_site_type_symbol
_atom_site_fract_x
_atom_site_fract_y
_atom_site_fract_z
_atom_site_occupancy
K1 K 0.0000 0.0000 0.0000 1
Zr1 Zr 0.0000 0.0000 0.4226 1
Zr2 Zr 0.5000 0.5000 0.6361 1
Se1 Se 0.5000 0.5000 0.2738 1
```

# 4
A plane-wave DFT calculation with GGA-PBE was carried out for crystalline KZrSe2 at its relaxed geometry.

E_tot   -5.4789 eV/atom

Cell and atoms, written as CIF:
```
data_KZrSe2
_cell_length_a 3.8921
_cell_length_b 3.8921
_cell_length_c 23.8185
_cell_angle_alpha 90.00
_cell_angle_beta 90.00
_cell_angle_gamma 120.00
_space_group_name_H-M_alt 'R 3 m'
_space_group_IT_number 160
_space_group_name_Hall 'R 3 -2"'
loop_
_atom_site_label
_atom_site_type_symbol
_atom_site_fract_x
_atom_site_fract_y
_atom_site_fract_z
_atom_site_occupancy
K1 K 0.0000 0.0000 0.0000 1
Zr1 Zr 0.0000 0.0000 0.1693 1
Se1 Se 0.0000 0.0000 0.5702 1
Se2 Se 0.0000 0.0000 0.7679 1
```

# 5
A plane-wave DFT calculation with GGA-PBE was carried out for crystalline KZr2Se at its relaxed geometry.

E_tot   -5.2216 eV/atom

Cell and atoms, written as CIF:
```
data_KZr2Se
_cell_length_a 3.3634
_cell_length_b 6.1158
_cell_length_c 10.7563
_cell_angle_alpha 90.00
_cell_angle_beta 90.00
_cell_angle_gamma 90.00
_space_group_name_H-M_alt 'I m m 2'
_space_group_IT_number 44
loop_
_space_group_symop_operation_xyz
'x,y,z'
'-x,-y,z'
'-x,y,z'
'x,-y,z'
'x+1/2,y+1/2,z+1/2'
'-x+1/2,-y+1/2,z+1/2'
'-x+1/2,y+1/2,z+1/2'
'x+1/2,-y+1/2,z+1/2'
loop_
_atom_site_label
_atom_site_type_symbol
_atom_site_fract_x
_atom_site_fract_y
_atom_site_fract_z
_atom_site_occupancy
K1 K 0.0000 0.0000 0.0000 1
Zr1 Zr 0.0000 0.0000 0.4421 1
Zr2 Zr 0.0000 0.5000 0.1796 1
Se1 Se 0.0000 0.5000 0.7482 1
```

# 6
A plane-wave DFT calculation with GGA-PBE was carried out for crystalline K3Zr5Se12 at its relaxed geometry.

E_tot   -5.5244 eV/atom

Cell and atoms, written as CIF:
```
data_K3Zr5Se12
_cell_length_a 17.1824
_cell_length_b 17.1824
_cell_length_c 17.1824
_cell_angle_alpha 90.00
_cell_angle_beta 90.00
_cell_angle_gamma 90.00
_space_group_name_H-M_alt 'I a -3 d'
_space_group_IT_number 230
_space_group_name_Hall '-I 4bd 2c 3'
loop_
_atom_site_label
_atom_site_type_symbol
_atom_site_fract_x
_atom_site_fract_y
_atom_site_fract_z
_atom_site_occupancy
K1 K 0.0000 0.2500 0.1250 1
Zr1 Zr 0.0000 0.0000 0.0000 1
Zr2 Zr 0.0000 0.2500 0.3750 1
Se1 Se 0.0355 0.0527 0.6443 1
```

# 7
A plane-wave DFT calculation with GGA-PBE was carried out for crystalline KZrSe3 at its relaxed geometry.

Offset from the most stable computed form   35 meV/atom

Cell and atoms, written as CIF:
```
data_KZrSe3
_cell_length_a 15.6163
_cell_length_b 5.1906
_cell_length_c 8.7042
_cell_angle_alpha 90.00
_cell_angle_beta 103.96
_cell_angle_gamma 90.00
_space_group_name_H-M_alt 'C 1 2/m 1'
_space_group_IT_number 12
loop_
_space_group_symop_operation_xyz
'x,y,z'
'-x,-y,-z'
'-x,y,-z'
'x,-y,z'
'x+1/2,y+1/2,z'
'-x+1/2,-y+1/2,-z'
'-x+1/2,y+1/2,-z'
'x+1/2,-y+1/2,z'
loop_
_atom_site_label
_atom_site_type_symbol
_atom_site_fract_x
_atom_site_fract_y
_atom_site_fract_z
_atom_site_occupancy
K1 K 0.1264 0.0000 0.3484 1
Zr1 Zr 0.1577 0.5000 0.8754 1
Se1 Se 0.0158 0.5000 0.1422 1
Se2 Se 0.1488 0.5000 0.5927 1
Se3 Se 0.1686 0.0000 0.9735 1
```

# 8
A plane-wave DFT calculation with GGA-PBE was carried out for crystalline KZr2Se at its relaxed geometry.

E_tot   -5.1032 eV/atom

Cell and atoms, written as CIF:
```
data_KZr2Se
_cell_length_a 4.2858
_cell_length_b 4.2858
_cell_length_c 11.1794
_cell_angle_alpha 90.00
_cell_angle_beta 90.00
_cell_angle_gamma 90.00
_space_group_name_H-M_alt 'I 4/m m m'
_space_group_IT_number 139
_space_group_name_Hall '-I 4 2'
loop_
_atom_site_label
_atom_site_type_symbol
_atom_site_fract_x
_atom_site_fract_y
_atom_site_fract_z
_atom_site_occupancy
K1 K 0.0000 0.0000 0.0000 1
Zr1 Zr 0.0000 0.5000 0.2500 1
Se1 Se 0.0000 0.0000 0.5000 1
```

# 9
A plane-wave DFT calculation with GGA-PBE was carried out for crystalline KZr2Se at its relaxed geometry.

E_tot   -4.8914 eV/atom

Cell and atoms, written as CIF:
```
data_KZr2Se
_cell_length_a 6.0976
_cell_length_b 9.4711
_cell_length_c 3.3809
_cell_angle_alpha 90.00
_cell_angle_beta 90.00
_cell_angle_gamma 90.00
_space_group_name_H-M_alt 'C m m m'
_space_group_IT_number 65
_space_group_name_Hall '-C 2 2'
loop_
_atom_site_label
_atom_site_type_symbol
_atom_site_fract_x
_atom_site_fract_y
_atom_site_fract_z
_atom_site_occupancy
K1 K 0.0000 0.0000 0.0000 1
Zr1 Zr 0.2500 0.2500 0.5000 1
Se1 Se 0.0000 0.5000 0.0000 1
```

# 10
A plane-wave DFT calculation with GGA-PBE was carried out for crystalline KZr4Se8 at its relaxed geometry.

Offset from the most stable computed form   0 meV/atom

Cell and atoms, written as CIF:
```
data_KZr4Se8
_cell_length_a 7.5811
_cell_length_b 7.5811
_cell_length_c 24.9854
_cell_angle_alpha 90.00
_cell_angle_beta 90.00
_cell_angle_gamma 120.00
_space_group_name_H-M_alt 'R -3 m'
_space_group_IT_number 166
_space_group_name_Hall '-R 3 2"'
loop_
_atom_site_label
_atom_site_type_symbol
_atom_site_fract_x
_atom_site_fract_y
_atom_site_fract_z
_atom_site_occupancy
K1 K 0.0000 0.0000 0.0000 1
Zr1 Zr 0.0000 0.0000 0.5000 1
Zr2 Zr 0.0000 0.5000 0.5000 1
Se1 Se 0.0000 0.0000 0.2310 1
Se2 Se 0.0021 0.5010 0.2314 1
```

Number 1: spin magnetization 0.0 μB per cell, theoretical density 4.10 Mg/m³. Number 2: spin magnetization 0.8 μB per cell, theoretical density 4.51 Mg/m³. Number 3: spin magnetization 0.0 μB per cell, theoretical density 4.52 Mg/m³. Number 4: spin magnetization 0.0 μB per cell, theoretical density 4.60 Mg/m³. Number 5: spin magnetization 0.0 μB per cell, theoretical density 4.51 Mg/m³. Number 6: spin magnetization 0.0 μB per cell, theoretical density 3.98 Mg/m³. Number 7: spin magnetization 0.0 μB per cell, theoretical density 3.56 Mg/m³. Number 8: spin magnetization 0.0 μB per cell, theoretical density 4.86 Mg/m³. Number 9: spin magnetization 0.0 μB per cell, theoretical density 5.11 Mg/m³. Number 10: spin magnetization 0.0 μB per cell, theoretical density 4.15 Mg/m³.